Entry 1:
# GGA-PBE LiPr2Si3Pt4, optimized geometry
data_LiPr2Si3Pt4
_symmetry_space_group_name_H-M 'P -4 m 2'
_symmetry_Int_Tables_number 115
_cell_length_a 4.2754
_cell_length_b 4.2754
_cell_length_c 9.9209
_cell_angle_alpha 90.00
_cell_angle_beta 90.00
_cell_angle_gamma 90.00
loop_
_symmetry_equiv_pos_as_xyz
'x,y,z'
'y,-x,-z'
'-x,-y,z'
'-y,x,-z'
'-x,y,z'
'-y,-x,-z'
'x,-y,z'
'y,x,-z'
loop_
_atom_site_label
_atom_site_type_symbol
_atom_site_fract_x
_atom_site_fract_y
_atom_site_fract_z
_atom_site_occupancy
Li1 Li 0.0000 0.0000 0.0000 1
Pr1 Pr 0.0000 0.5000 0.7555 1
Si1 Si 0.0000 0.5000 0.3691 1
Si2 Si 0.5000 0.5000 0.0000 1
Pt1 Pt 0.0000 0.0000 0.5000 1
Pt2 Pt 0.0000 0.5000 0.1272 1
Pt3 Pt 0.5000 0.5000 0.5000 1
# Formation energy from raw total energies: -1.064 eV/atom

=====

Entry 2:
# GGA-PBE LiPr2Si4Pt3, optimized geometry
data_LiPr2Si4Pt3
_symmetry_space_group_name_H-M 'P -4 m 2'
_symmetry_Int_Tables_number 115
_cell_length_a 4.2658
_cell_length_b 4.2658
_cell_length_c 9.9838
_cell_angle_alpha 90.00
_cell_angle_beta 90.00
_cell_angle_gamma 90.00
loop_
_symmetry_equiv_pos_as_xyz
'x,y,z'
'y,-x,-z'
'-x,-y,z'
'-y,x,-z'
'-x,y,z'
'-y,-x,-z'
'x,-y,z'
'y,x,-z'
loop_
_atom_site_label
_atom_site_type_symbol
_atom_site_fract_x
_atom_site_fract_y
_atom_site_fract_z
_atom_site_occupancy
Li1 Li 0.0000 0.0000 0.0000 1
Pr1 Pr 0.0000 0.5000 0.7491 1
Si1 Si 0.0000 0.0000 0.5000 1
Si2 Si 0.0000 0.5000 0.1344 1
Si3 Si 0.5000 0.5000 0.5000 1
Pt1 Pt 0.0000 0.5000 0.3810 1
Pt2 Pt 0.5000 0.5000 0.0000 1
# Formation energy from raw total energies: -0.994 eV/atom

=====

Entry 3:
# GGA-PBE LiPrSi2Pt5, optimized geometry
data_LiPrSi2Pt5
_symmetry_space_group_name_H-M 'P 4/m m m'
_symmetry_Int_Tables_number 123
_symmetry_space_group_name_Hall '-P 4 2'
_cell_length_a 4.1013
_cell_length_b 4.1013
_cell_length_c 10.0345
_cell_angle_alpha 90.00
_cell_angle_beta 90.00
_cell_angle_gamma 90.00
loop_
_atom_site_label
_atom_site_type_symbol
_atom_site_fract_x
_atom_site_fract_y
_atom_site_fract_z
_atom_site_occupancy
Li1 Li 0.0000 0.0000 0.0000 1
Pr1 Pr 0.0000 0.0000 0.5000 1
Si1 Si 0.5000 0.5000 0.2655 1
Pt1 Pt 0.0000 0.5000 0.1498 1
Pt2 Pt 0.5000 0.5000 0.5000 1
# Formation energy from raw total energies: -0.703 eV/atom

=====

Entry 4:
# GGA-PBE LiPrSi2Pt2, optimized geometry
data_LiPrSi2Pt2
_symmetry_space_group_name_H-M 'P -3 m 1'
_symmetry_Int_Tables_number 164
_symmetry_space_group_name_Hall '-P 3 2"'
_cell_length_a 4.2136
_cell_length_b 4.2136
_cell_length_c 6.8750
_cell_angle_alpha 90.00
_cell_angle_beta 90.00
_cell_angle_gamma 120.00
loop_
_atom_site_label
_atom_site_type_symbol
_atom_site_fract_x
_atom_site_fract_y
_atom_site_fract_z
_atom_site_occupancy
Li1 Li 0.0000 0.0000 0.0000 1
Pr1 Pr 0.0000 0.0000 0.5000 1
Si1 Si 0.3333 0.6667 0.7873 1
Pt1 Pt 0.3333 0.6667 0.1505 1
# Formation energy from raw total energies: -0.967 eV/atom

=====

Entry 5:
# GGA-PBE LiPr2SiPt6, optimized geometry
data_LiPr2SiPt6
_symmetry_space_group_name_H-M 'R -3 m'
_symmetry_Int_Tables_number 166
_symmetry_space_group_name_Hall '-R 3 2"'
_cell_length_a 5.7527
_cell_length_b 5.7527
_cell_length_c 22.9998
_cell_angle_alpha 90.00
_cell_angle_beta 90.00
_cell_angle_gamma 120.00
loop_
_atom_site_label
_atom_site_type_symbol
_atom_site_fract_x
_atom_site_fract_y
_atom_site_fract_z
_atom_site_occupancy
Li1 Li 0.0000 0.0000 0.0000 1
Pr1 Pr 0.0000 0.0000 0.2082 1
Si1 Si 0.0000 0.0000 0.5000 1
Pt1 Pt 0.0075 0.5038 0.7585 1
# Formation energy from raw total energies: -0.771 eV/atom

=====

Entry 6:
# GGA-PBE LiPr2Si3Pt12, optimized geometry
data_LiPr2Si3Pt12
_symmetry_space_group_name_H-M 'R -3 m'
_symmetry_Int_Tables_number 166
_symmetry_space_group_name_Hall '-R 3 2"'
_cell_length_a 8.2594
_cell_length_b 8.2594
_cell_length_c 17.8531
_cell_angle_alpha 90.00
_cell_angle_beta 90.00
_cell_angle_gamma 120.00
loop_
_atom_site_label
_atom_site_type_symbol
_atom_site_fract_x
_atom_site_fract_y
_atom_site_fract_z
_atom_site_occupancy
Li1 Li 0.0000 0.0000 0.0000 1
Pr1 Pr 0.0000 0.0000 0.3816 1
Si1 Si 0.0000 0.5000 0.5000 1
Pt1 Pt 0.0069 0.5035 0.6292 1
Pt2 Pt 0.0274 0.5137 0.8682 1
# Formation energy from raw total energies: -0.522 eV/atom

=====

Entry 7:
# GGA-PBE LiPrSmPt, optimized geometry
data_LiPrSmPt
_symmetry_space_group_name_H-M 'F -4 3 m'
_symmetry_Int_Tables_number 216
_symmetry_space_group_name_Hall 'F -4 2 3'
_cell_length_a 7.2704
_cell_length_b 7.2704
_cell_length_c 7.2704
_cell_angle_alpha 90.00
_cell_angle_beta 90.00
_cell_angle_gamma 90.00
loop_
_atom_site_label
_atom_site_type_symbol
_atom_site_fract_x
_atom_site_fract_y
_atom_site_fract_z
_atom_site_occupancy
Li1 Li 0.0000 0.0000 0.0000 1
Pr1 Pr 0.2500 0.2500 0.2500 1
Sm1 Sm 0.2500 0.2500 0.7500 1
Pt1 Pt 0.0000 0.0000 0.5000 1
# Energy of formation from the pure elements: -0.531 eV/atom

=====

Entry 8:
# GGA-PBE LiPr2SnPt6, optimized geometry
data_LiPr2SnPt6
_symmetry_space_group_name_H-M 'P -1'
_symmetry_Int_Tables_number 2
_cell_length_a 5.6221
_cell_length_b 5.6248
_cell_length_c 8.7806
_cell_angle_alpha 90.00
_cell_angle_beta 108.60
_cell_angle_gamma 119.94
loop_
_symmetry_equiv_pos_as_xyz
'x,y,z'
'-x,-y,-z'
loop_
_atom_site_label
_atom_site_type_symbol
_atom_site_fract_x
_atom_site_fract_y
_atom_site_fract_z
_atom_site_occupancy
Li1 Li 0.0000 0.0000 0.0000 1
Pr1 Pr 0.4020 0.7009 0.1035 1
Sn1 Sn 0.0000 0.5000 0.5000 1
Pt1 Pt 0.0034 0.2458 0.7599 1
Pt2 Pt 0.0033 0.7582 0.7596 1
Pt3 Pt 0.4851 0.2424 0.2405 1
# Energy of formation from the pure elements: -0.699 eV/atom

=====

Number 1: N(E_F) 5.7 states/eV/cell. Number 2: N(E_F) 4.3 states/eV/cell. Number 3: N(E_F) 3.5 states/eV/cell. Number 4: N(E_F) 1.4 states/eV/cell. Number 5: N(E_F) 12.0 states/eV/cell. Number 6: N(E_F) 17.6 states/eV/cell. Number 7: N(E_F) 14.6 states/eV/cell. Number 8: N(E_F) 3.5 states/eV/cell.